This record from Alexandria via LeMat-Bulk describes a crystal of CoMo2W relaxed with PBEsol. The functional is SCAN.

Properties
- Symmetry: Cmmm (65)
- Excess energy over the best structure of this formula in the dataset: 260 meV/atom
- Fermi-level density of states: 3.11 states/eV per cell
- Formation energy from the elements: 9.73 kcal/mol of atoms

a = 4.7510 Å, b = 4.7510 Å, c = 2.7097 Å
α = 90.00°, β = 90.00°, γ = 111.29°
Closest atoms and distances in Å follow each position.
Element x y z (fractional)
1 Co 0.0000 0.0000 0.0000  2 W 2.68, 2 Co 2.71, 8 Mo 2.73
2 Mo 0.0000 0.5000 0.5000  4 Mo 2.68-2.71, 4 W 2.73, 4 Co 2.73
3 Mo 0.5000 0.0000 0.5000  4 Mo 2.68-2.71, 4 W 2.73, 4 Co 2.73
4 W 0.5000 0.5000 0.0000  2 Co 2.68, 2 W 2.71, 8 Mo 2.73



This record from Alexandria via LeMat-Bulk describes a crystal of AlGaSb3 relaxed with PBEsol. The functional is SCAN.

Properties
- Symmetry: Pm-3m (221)
- Fermi-level density of states: 3.21 states/eV per cell
- Raw formation energy: 0.7353 eV per atom

a = 5.2310 Å, b = 5.2310 Å, c = 5.2310 Å
α = 90.00°, β = 90.00°, γ = 90.00°
Closest atoms and distances in Å follow each position.
Element x y z (fractional)
1 Al 0.0000 0.0000 0.0000  12 Sb 3.70
2 Ga 0.5000 0.5000 0.5000  6 Sb 2.62
3 Sb 0.0000 0.5000 0.5000  2 Ga 2.62
4 Sb 0.5000 0.0000 0.5000  2 Ga 2.62
5 Sb 0.5000 0.5000 0.0000  2 Ga 2.62



This record from Alexandria via LeMat-Bulk describes a crystal of BeCdW2 relaxed with PBEsol. The functional is SCAN.

Properties
- Symmetry: Immm (71)
- Excess energy over the best structure of this formula in the dataset: 47 meV/atom
- Fermi-level density of states: 1.88 states/eV per cell
- Formation energy from the elements: 11.84 kcal/mol of atoms

a = 5.1445 Å, b = 5.1445 Å, c = 5.1445 Å
α = 143.87°, β = 131.36°, γ = 62.07°
Closest atoms and distances in Å follow each position.
Element x y z (fractional)
1 Be 0.0000 0.0000 0.0000  4 W 2.62, 4 Cd 2.65
2 Cd 0.5000 0.5000 0.0000  4 Be 2.65, 8 W 2.82-2.97
3 W 0.2357 0.7357 0.5000  2 Be 2.62, 4 W 2.66, 2 Cd 2.82
4 W 0.7643 0.2643 0.5000  2 Be 2.62, 4 W 2.66, 2 Cd 2.82



This record from Alexandria via LeMat-Bulk describes a crystal of CsGa3Re relaxed with PBEsol. The functional is SCAN.

Properties
- Symmetry: Pm-3m (221)
- Fermi-level density of states: 5.77 states/eV per cell
- Formation energy from the elements: 61.34 kcal/mol of atoms

a = 5.5270 Å, b = 5.5270 Å, c = 5.5270 Å
α = 90.00°, β = 90.00°, γ = 90.00°
Closest atoms and distances in Å follow each position.
Element x y z (fractional)
1 Cs 0.0000 0.0000 0.0000  6 Ga 2.76
2 Ga 0.0000 0.0000 0.5000  2 Cs 2.76
3 Ga 0.0000 0.5000 0.0000  2 Cs 2.76
4 Ga 0.5000 0.0000 0.0000  2 Cs 2.76
5 Re 0.5000 0.5000 0.5000  12 Ga 3.91